An optimized crystal structure of NaY3Ge. Source: the Alexandria database, functional PBE-GGA.

abc: 5.581 5.581 5.581
angles: 90.00 90.00 90.00
Each line ends with the local moment (μB).
Positions (direct):
1 Y 0.000 0.500 0.000  0.24
2 Y 0.000 0.000 0.500  0.27
3 Y 0.500 0.000 0.000  0.28
4 Na 0.500 0.500 0.500  0.01
5 Ge 0.000 0.000 0.000  0.01

Computed properties:
Its formation energy from the elements is -24 meV/atom. As for the space-group type: Pm-3m. The total energy is -5.0896 eV per atom.